# Li2Zn6Pd, relaxed, DFT PBE-GGA
# Magnetization (μB per formula unit): 0.0
# Energy (eV per atom): -2.131
# Crystal system: monoclinic
data_Li2Zn6Pd
_chemical_formula_sum 'Li4 Zn12 Pd2'
_space_group_name_H-M_alt 'C 1 2/m 1'
_space_group_IT_number 12
_cell_length_a 7.972
_cell_length_b 4.100
_cell_length_c 8.008
_cell_angle_alpha 90.00
_cell_angle_beta 98.80
_cell_angle_gamma 90.00
loop_
_space_group_symop_operation_xyz
'x,y,z'
'-x,-y,-z'
'-x,y,-z'
'x,-y,z'
'x+1/2,y+1/2,z'
'-x+1/2,-y+1/2,-z'
'-x+1/2,y+1/2,-z'
'x+1/2,-y+1/2,z'
loop_
_atom_site_label
_atom_site_type_symbol
_atom_site_fract_x
_atom_site_fract_y
_atom_site_fract_z
Li1 Li 0.173 0.000 0.216
Zn1 Zn 0.009 0.500 0.332
Zn2 Zn 0.162 0.000 0.889
Zn3 Zn 0.164 0.000 0.558
Pd1 Pd 0.000 0.500 0.000